# 1
LiAlPt2 (PBE-GGA, optimized geometry); size of the total moment = 0.00 μB per formula unit; E_form = -197.2 kJ/mol of formula units; SG = I-42d (122); DFT total energy = -0.363 Ry per atom; DOS at the Fermi energy = 3.10 states/eV per cell; volume = 63 Å³/f.u.
1.0
6.7804 0.0000 0.0000
0.0000 6.7804 0.0000
0.0000 0.0000 5.5055
Li Al Pt
4 4 8
Direct
0.0000 0.0000 0.0000
0.0000 0.5000 0.2500
0.5000 0.0000 0.7500
0.5000 0.5000 0.5000
0.0000 0.0000 0.5000
0.0000 0.5000 0.7500
0.5000 0.0000 0.2500
0.5000 0.5000 0.0000
0.2333 0.7500 0.6250
0.2500 0.2333 0.3750
0.2500 0.2667 0.8750
0.2667 0.7500 0.1250
0.7333 0.2500 0.1250
0.7500 0.7333 0.8750
0.7500 0.7667 0.3750
0.7667 0.2500 0.6250

# 2
Li2AlPt (PBE-GGA, optimized geometry); size of the total moment = 0.00 μB per formula unit; E_form = -120.0 kJ/mol of formula units; SG = R-3m (166); DFT total energy = -0.273 Ry per atom; DOS at the Fermi energy = 6.70 states/eV per cell; volume = 60 Å³/f.u.
1.0
2.8065 0.0000 0.0000
-1.4032 2.4305 0.0000
0.0000 0.0000 26.4703
Li Al Pt
6 3 3
Direct
0.0000 0.0000 0.2454
0.0000 0.0000 0.7546
0.3333 0.6667 0.4212
0.3333 0.6667 0.9121
0.6667 0.3333 0.0879
0.6667 0.3333 0.5788
0.0000 0.0000 0.0000
0.3333 0.6667 0.6667
0.6667 0.3333 0.3333
0.0000 0.0000 0.5000
0.3333 0.6667 0.1667
0.6667 0.3333 0.8333

# 3
Li2Al2Pt7 (PBE-GGA, optimized geometry); size of the total moment = 0.00 μB per formula unit; E_form = -443.2 kJ/mol of formula units; SG = C2/m (12); DFT total energy = -0.389 Ry per atom; DOS at the Fermi energy = 5.39 states/eV per cell; volume = 173 Å³/f.u.
1.0
5.7136 -3.6668 0.0000
5.7136 3.6668 0.0000
-0.2404 0.0000 4.1288
Li Al Pt
2 2 7
Direct
0.1983 0.1983 0.2303
0.8017 0.8017 0.7697
0.2744 0.7256 0.0000
0.7256 0.2744 0.0000
0.0000 0.0000 0.5000
0.0139 0.6231 0.2604
0.3769 0.9861 0.7396
0.3922 0.3922 0.6228
0.6078 0.6078 0.3772
0.6231 0.0139 0.2604
0.9861 0.3769 0.7396

# 4
Li2AlPt (PBE-GGA, optimized geometry); size of the total moment = 0.00 μB per formula unit; E_form = -226.8 kJ/mol of formula units; SG = Pmm2 (25); DFT total energy = -0.293 Ry per atom; DOS at the Fermi energy = 1.66 states/eV per cell; volume = 57 Å³/f.u.
1.0
2.8923 0.0000 0.0000
0.0000 4.3034 0.0000
0.0000 0.0000 4.5821
Li Al Pt
2 1 1
Direct
0.0000 0.0000 0.0000
0.5000 0.5000 0.0023
0.0000 0.5000 0.5020
0.5000 0.0000 0.5003

# 5
Li2AlPt2 (PBE-GGA, optimized geometry); size of the total moment = 0.00 μB per formula unit; E_form = -291.1 kJ/mol of formula units; SG = P4/mbm (127); DFT total energy = -0.333 Ry per atom; energy relative to the lowest polymorph listed for this composition = 46 meV/atom; DOS at the Fermi energy = 2.68 states/eV per cell; volume = 66 Å³/f.u.
1.0
6.8253 0.0000 0.0000
0.0000 6.8253 0.0000
0.0000 0.0000 2.8372
Li Al Pt
4 2 4
Direct
0.1084 0.3916 0.0000
0.3916 0.8916 0.0000
0.6084 0.1084 0.0000
0.8916 0.6084 0.0000
0.0000 0.0000 0.0000
0.5000 0.5000 0.0000
0.1926 0.6926 0.5000
0.3074 0.1926 0.5000
0.6926 0.8074 0.5000
0.8074 0.3074 0.5000

# 6
LiAlPt2 (PBE-GGA, optimized geometry); size of the total moment = 0.00 μB per formula unit; E_form = -287.4 kJ/mol of formula units; SG = Pmm2 (25); DFT total energy = -0.381 Ry per atom; DOS at the Fermi energy = 1.15 states/eV per cell; volume = 58 Å³/f.u.
1.0
2.7866 0.0000 0.0000
0.0000 3.8975 0.0000
0.0000 0.0000 5.2998
Li Al Pt
1 1 2
Direct
0.0000 0.0000 0.0000
0.5000 0.5000 0.7080
0.0000 0.0000 0.5100
0.5000 0.5000 0.1814

# 7
Li2AlPt (PBE-GGA, optimized geometry); size of the total moment = 0.00 μB per formula unit; E_form = -230.7 kJ/mol of formula units; SG = I4/mmm (139); DFT total energy = -0.294 Ry per atom; DOS at the Fermi energy = 2.76 states/eV per cell; volume = 57 Å³/f.u.
1.0
3.6772 0.0000 0.0000
0.0000 3.6772 0.0000
0.0000 0.0000 8.5016
Li Al Pt
4 2 2
Direct
0.0000 0.5000 0.2500
0.0000 0.5000 0.7500
0.5000 0.0000 0.2500
0.5000 0.0000 0.7500
0.0000 0.0000 0.0000
0.5000 0.5000 0.5000
0.0000 0.0000 0.5000
0.5000 0.5000 0.0000

# 8
Li2AlPt2 (PBE-GGA, optimized geometry); size of the total moment = 0.00 μB per formula unit; E_form = -247.1 kJ/mol of formula units; SG = I4/mmm (139); DFT total energy = -0.327 Ry per atom; energy relative to the lowest polymorph listed for this composition = 137 meV/atom; DOS at the Fermi energy = 2.52 states/eV per cell; volume = 69 Å³/f.u.
1.0
3.1110 0.0000 0.0000
0.0000 3.1110 0.0000
0.0000 0.0000 14.3239
Li Al Pt
4 2 4
Direct
0.0000 0.5000 0.2500
0.0000 0.5000 0.7500
0.5000 0.0000 0.2500
0.5000 0.0000 0.7500
0.0000 0.0000 0.0000
0.5000 0.5000 0.5000
0.0000 0.0000 0.3980
0.0000 0.0000 0.6020
0.5000 0.5000 0.1020
0.5000 0.5000 0.8980